Entry 1:
# GaMo2Os | Alexandria via LeMat-Bulk | GGA-PBE | optimized geometry
# Energy ... -133.3 eV/cell
# Calculated formation energy ... 651 meV per atom
# Crystal system ... tetragonal
data_GaMo2Os
_chemical_formula_sum 'Ga4 Mo8 Os4'
_space_group_name_H-M_alt 'I -4 2 d'
_space_group_IT_number 122
_space_group_name_Hall 'I -4 2bw'
_cell_length_a 7.2260
_cell_length_b 7.2260
_cell_length_c 5.2302
_cell_angle_alpha 90.00
_cell_angle_beta 90.00
_cell_angle_gamma 90.00
loop_
_atom_site_label
_atom_site_type_symbol
_atom_site_fract_x
_atom_site_fract_y
_atom_site_fract_z
Ga1 Ga 0.0000 0.0000 0.0000
Mo1 Mo 0.2223 0.7500 0.6250
Os1 Os 0.0000 0.0000 0.5000



Entry 2:
# CsPuCuSe4 | Alexandria via LeMat-Bulk | GGA-PBE | optimized geometry
# Energy ... -78.7 eV/cell
# Uncorrected formation energy ... -6.12 eV per formula unit
# Crystal system ... monoclinic
data_CsPuCuSe4
_chemical_formula_sum 'Cs2 Pu2 Cu2 Se8'
_space_group_name_H-M_alt 'P 1 21/m 1'
_space_group_IT_number 11
_cell_length_a 7.1594
_cell_length_b 5.7440
_cell_length_c 10.1246
_cell_angle_alpha 90.00
_cell_angle_beta 105.31
_cell_angle_gamma 90.00
loop_
_space_group_symop_operation_xyz
'x,y,z'
'-x,-y,-z'
'-x,y+1/2,-z'
'x,-y+1/2,z'
loop_
_atom_site_label
_atom_site_type_symbol
_atom_site_fract_x
_atom_site_fract_y
_atom_site_fract_z
Cs1 Cs 0.2336 0.2500 0.0458
Pu1 Pu 0.2640 0.2500 0.5515
Cu1 Cu 0.2688 0.7500 0.3383
Se1 Se 0.0063 0.5105 0.6888
Se2 Se 0.4227 0.7500 0.5777
Se3 Se 0.4778 0.7500 0.1929



Entry 3:
# Tb4YSe7 | Alexandria via LeMat-Bulk | GGA-PBE | optimized geometry
# Energy ... -143.7 eV/cell
# Uncorrected formation energy ... -22.47 eV per formula unit
# Crystal system ... monoclinic
data_Tb4YSe7
_chemical_formula_sum 'Tb8 Y2 Se14'
_space_group_name_H-M_alt 'C 1 m 1'
_space_group_IT_number 8
_cell_length_a 13.4439
_cell_length_b 3.9851
_cell_length_c 12.2335
_cell_angle_alpha 90.00
_cell_angle_beta 104.45
_cell_angle_gamma 90.00
loop_
_space_group_symop_operation_xyz
'x,y,z'
'x,-y,z'
'x+1/2,y+1/2,z'
'x+1/2,-y+1/2,z'
loop_
_atom_site_label
_atom_site_type_symbol
_atom_site_fract_x
_atom_site_fract_y
_atom_site_fract_z
Tb1 Tb 0.0000 0.0000 0.0000
Tb2 Tb 0.0876 0.5000 0.3900
Tb3 Tb 0.1872 0.0000 0.7657
Tb4 Tb 0.3873 0.5000 0.5775
Y1 Y 0.2743 0.5000 0.1556
Se1 Se 0.0473 0.5000 0.6280
Se2 Se 0.1288 0.5000 0.9296
Se3 Se 0.1461 0.0000 0.2259
Se4 Se 0.2273 0.0000 0.5275
Se5 Se 0.3473 0.5000 0.7932
Se6 Se 0.3866 0.0000 0.0776
Se7 Se 0.4272 0.5000 0.3617



Entry 4:
# KLiCr2 | Alexandria via LeMat-Bulk | GGA-PBE | optimized geometry
# Energy ... -33.3 eV/cell
# Calculated formation energy ... 1400 meV per atom
# Crystal system ... tetragonal
data_KLiCr2
_chemical_formula_sum 'K2 Li2 Cr4'
_space_group_name_H-M_alt 'I 4/m m m'
_space_group_IT_number 139
_space_group_name_Hall '-I 4 2'
_cell_length_a 3.5223
_cell_length_b 3.5223
_cell_length_c 11.1253
_cell_angle_alpha 90.00
_cell_angle_beta 90.00
_cell_angle_gamma 90.00
loop_
_atom_site_label
_atom_site_type_symbol
_atom_site_fract_x
_atom_site_fract_y
_atom_site_fract_z
K1 K 0.0000 0.0000 0.0000
Li1 Li 0.0000 0.0000 0.5000
Cr1 Cr 0.0000 0.5000 0.2500



Entry 5:
# CuRuCl4 | Alexandria via LeMat-Bulk | GGA-PBE | optimized geometry
# Energy ... -52.6 eV/cell
# Uncorrected formation energy ... 7.61 eV per formula unit
# Crystal system ... cubic
data_CuRuCl4
_chemical_formula_sum 'Cu4 Ru4 Cl16'
_space_group_name_H-M_alt 'F -4 3 m'
_space_group_IT_number 216
_space_group_name_Hall 'F -4 2 3'
_cell_length_a 8.1500
_cell_length_b 8.1500
_cell_length_c 8.1500
_cell_angle_alpha 90.00
_cell_angle_beta 90.00
_cell_angle_gamma 90.00
loop_
_atom_site_label
_atom_site_type_symbol
_atom_site_fract_x
_atom_site_fract_y
_atom_site_fract_z
Cu1 Cu 0.0000 0.0000 0.0000
Ru1 Ru 0.2500 0.2500 0.7500
Cl1 Cl 0.1248 0.1248 0.3752



Entry 6:
# MgNi3H | Alexandria via LeMat-Bulk | GGA-PBE | optimized geometry
# Energy ... -42.0 eV/cell
# Crystal system ... hexagonal
data_MgNi3H
_chemical_formula_sum 'Mg2 Ni6 H2'
_space_group_name_H-M_alt 'P 63/m m c'
_space_group_IT_number 194
_space_group_name_Hall '-P 6c 2c'
_cell_length_a 4.0938
_cell_length_b 4.0938
_cell_length_c 7.2715
_cell_angle_alpha 90.00
_cell_angle_beta 90.00
_cell_angle_gamma 120.00
loop_
_atom_site_label
_atom_site_type_symbol
_atom_site_fract_x
_atom_site_fract_y
_atom_site_fract_z
Mg1 Mg 0.3333 0.6667 0.2500
Ni1 Ni 0.0000 0.0000 0.2500
Ni2 Ni 0.3333 0.6667 0.5835
H1 H 0.0000 0.0000 0.0000



Entry 7:
# K2TcSe | Alexandria via LeMat-Bulk | GGA-PBE | optimized geometry
# Energy ... -27.2 eV/cell
# Uncorrected formation energy ... 2.44 eV per formula unit
# Crystal system ... orthorhombic
data_K2TcSe
_chemical_formula_sum 'K4 Tc2 Se2'
_space_group_name_H-M_alt 'I m m m'
_space_group_IT_number 71
_space_group_name_Hall '-I 2 2'
_cell_length_a 4.4525
_cell_length_b 4.5788
_cell_length_c 10.4137
_cell_angle_alpha 90.00
_cell_angle_beta 90.00
_cell_angle_gamma 90.00
loop_
_atom_site_label
_atom_site_type_symbol
_atom_site_fract_x
_atom_site_fract_y
_atom_site_fract_z
K1 K 0.0000 0.0000 0.2492
Tc1 Tc 0.0000 0.5000 0.0000
Se1 Se 0.0000 0.5000 0.5000



Entry 8:
# Hf5ScGa6 | Alexandria via LeMat-Bulk | GGA-PBE | optimized geometry
# Energy ... -155.0 eV/cell
# Calculated formation energy ... -271 meV per atom
# Crystal system ... monoclinic
data_Hf5ScGa6
_chemical_formula_sum 'Hf10 Sc2 Ga12'
_space_group_name_H-M_alt 'C 1 2/m 1'
_space_group_IT_number 12
_cell_length_a 8.8865
_cell_length_b 9.3024
_cell_length_c 5.7774
_cell_angle_alpha 90.00
_cell_angle_beta 98.54
_cell_angle_gamma 90.00
loop_
_space_group_symop_operation_xyz
'x,y,z'
'-x,-y,-z'
'-x,y,-z'
'x,-y,z'
'x+1/2,y+1/2,z'
'-x+1/2,-y+1/2,-z'
'-x+1/2,y+1/2,-z'
'x+1/2,-y+1/2,z'
loop_
_atom_site_label
_atom_site_type_symbol
_atom_site_fract_x
_atom_site_fract_y
_atom_site_fract_z
Hf1 Hf 0.0000 0.0000 0.0000
Hf2 Hf 0.0000 0.1636 0.5000
Hf3 Hf 0.0000 0.3328 0.0000
Sc1 Sc 0.0000 0.5000 0.5000
Ga1 Ga 0.2478 0.5000 0.2463
Ga2 Ga 0.2490 0.3300 0.7482



Entry 9:
# CaYAl | Alexandria via LeMat-Bulk | GGA-PBE | optimized geometry
# Energy ... -50.7 eV/cell
# Calculated formation energy ... -154 meV per atom
# Crystal system ... monoclinic
data_CaYAl
_chemical_formula_sum 'Ca4 Y4 Al4'
_space_group_name_H-M_alt 'C 1 2/m 1'
_space_group_IT_number 12
_cell_length_a 16.9353
_cell_length_b 3.6464
_cell_length_c 5.5024
_cell_angle_alpha 90.00
_cell_angle_beta 93.91
_cell_angle_gamma 90.00
loop_
_space_group_symop_operation_xyz
'x,y,z'
'-x,-y,-z'
'-x,y,-z'
'x,-y,z'
'x+1/2,y+1/2,z'
'-x+1/2,-y+1/2,-z'
'-x+1/2,y+1/2,-z'
'x+1/2,-y+1/2,z'
loop_
_atom_site_label
_atom_site_type_symbol
_atom_site_fract_x
_atom_site_fract_y
_atom_site_fract_z
Ca1 Ca 0.0834 0.0000 0.2045
Y1 Y 0.2180 0.0000 0.7405
Al1 Al 0.0684 0.5000 0.6803



Entry 10:
# NpU2Rh9 | Alexandria via LeMat-Bulk | GGA-PBE | optimized geometry
# Energy ... -108.7 eV/cell
# Calculated formation energy ... -586 meV per atom
# Crystal system ... tetragonal
data_NpU2Rh9
_chemical_formula_sum 'Np1 U2 Rh9'
_space_group_name_H-M_alt 'P 4/m m m'
_space_group_IT_number 123
_space_group_name_Hall '-P 4 2'
_cell_length_a 4.0206
_cell_length_b 4.0206
_cell_length_c 12.0910
_cell_angle_alpha 90.00
_cell_angle_beta 90.00
_cell_angle_gamma 90.00
loop_
_atom_site_label
_atom_site_type_symbol
_atom_site_fract_x
_atom_site_fract_y
_atom_site_fract_z
Np1 Np 0.0000 0.0000 0.0000
U1 U 0.0000 0.0000 0.3324
Rh1 Rh 0.0000 0.5000 0.1707
Rh2 Rh 0.0000 0.5000 0.5000
Rh3 Rh 0.5000 0.5000 0.0000
Rh4 Rh 0.5000 0.5000 0.3349



Entry 11:
# CsRb2NaAg | Alexandria via LeMat-Bulk | GGA-PBE | optimized geometry
# Energy ... -6.1 eV/cell
# Calculated formation energy ... 164 meV per atom
# Crystal system ... tetragonal
data_CsRb2NaAg
_chemical_formula_sum 'Cs1 Rb2 Na1 Ag1'
_space_group_name_H-M_alt 'P 4/m m m'
_space_group_IT_number 123
_space_group_name_Hall '-P 4 2'
_cell_length_a 7.3792
_cell_length_b 7.3792
_cell_length_c 5.8696
_cell_angle_alpha 90.00
_cell_angle_beta 90.00
_cell_angle_gamma 90.00
loop_
_atom_site_label
_atom_site_type_symbol
_atom_site_fract_x
_atom_site_fract_y
_atom_site_fract_z
Cs1 Cs 0.0000 0.0000 0.0000
Rb1 Rb 0.0000 0.5000 0.5000
Na1 Na 0.5000 0.5000 0.5000
Ag1 Ag 0.5000 0.5000 0.0000



Entry 12:
# LiLa3Pu2Se6 | Alexandria via LeMat-Bulk | GGA-PBE | optimized geometry
# Energy ... -174.2 eV/cell
# Uncorrected formation energy ... -20.85 eV per formula unit
# Crystal system ... monoclinic
data_LiLa3Pu2Se6
_chemical_formula_sum 'Li2 La6 Pu4 Se12'
_space_group_name_H-M_alt 'C 1 2/m 1'
_space_group_IT_number 12
_cell_length_a 7.3307
_cell_length_b 12.7010
_cell_length_c 7.2874
_cell_angle_alpha 90.00
_cell_angle_beta 109.62
_cell_angle_gamma 90.00
loop_
_space_group_symop_operation_xyz
'x,y,z'
'-x,-y,-z'
'-x,y,-z'
'x,-y,z'
'x+1/2,y+1/2,z'
'-x+1/2,-y+1/2,-z'
'-x+1/2,y+1/2,-z'
'x+1/2,-y+1/2,z'
loop_
_atom_site_label
_atom_site_type_symbol
_atom_site_fract_x
_atom_site_fract_y
_atom_site_fract_z
Li1 Li 0.0000 0.0000 0.0000
La1 La 0.0000 0.1671 0.5000
La2 La 0.0000 0.5000 0.5000
Pu1 Pu 0.0000 0.3336 0.0000
Se1 Se 0.2426 0.1641 0.2356
Se2 Se 0.2495 0.0000 0.7642



| no. | total magnetic moment (μB/f.u.) |
| --- | --- |
| 1 | 0.0 |
| 2 | 3.3 |
| 3 | 0.0 |
| 4 | 2.0 |
| 5 | 5.0 |
| 6 | 0.2 |
| 7 | 3.4 |
| 8 | 0.0 |
| 9 | 0.0 |
| 10 | 1.3 |
| 11 | 0.0 |
| 12 | 11.9 |